Record 1
# Tb2Sm8Tm3 PBE-GGA optimized geometry
# - N(E_F) (states/eV/cell) = 38.66
# - magnetic moment (μB/atom) = 0.000
# - calculated formation energy (eV/atom) = 0.212
data_Tb2Sm8Tm3
_chemical_formula_sum 'Tb4 Sm16 Tm6'
_cell_length_a 20.307
_cell_length_b 7.673
_cell_length_c 5.648
_cell_angle_alpha 90.00
_cell_angle_beta 90.02
_cell_angle_gamma 90.00
_space_group_name_H-M_alt 'C 1 2/m 1'
_space_group_IT_number 12
loop_
_space_group_symop_operation_xyz
'x,y,z'
'-x,-y,-z'
'-x,y,-z'
'x,-y,z'
'x+1/2,y+1/2,z'
'-x+1/2,-y+1/2,-z'
'-x+1/2,y+1/2,-z'
'x+1/2,-y+1/2,z'
loop_
_atom_site_label
_atom_site_type_symbol
_atom_site_fract_x
_atom_site_fract_y
_atom_site_fract_z
Tb1 Tb 0.240 0.000 0.499
Sm1 Sm 0.105 0.294 0.500
Sm2 Sm 0.130 0.000 0.000
Sm3 Sm 0.170 0.500 0.000
Tm1 Tm 0.000 0.000 0.500
Tm2 Tm 0.000 0.286 0.000

***

Record 2
# Zn7Rh3 PBE-GGA optimized geometry
# - N(E_F) (states/eV/cell) = 5.66
# - magnetic moment (μB/atom) = 0.000
# - calculated formation energy (eV/atom) = -0.361
data_Zn7Rh3
_chemical_formula_sum 'Zn14 Rh6'
_cell_length_a 13.880
_cell_length_b 3.880
_cell_length_c 5.329
_cell_angle_alpha 90.00
_cell_angle_beta 101.90
_cell_angle_gamma 90.00
_space_group_name_H-M_alt 'C 1 2/m 1'
_space_group_IT_number 12
loop_
_space_group_symop_operation_xyz
'x,y,z'
'-x,-y,-z'
'-x,y,-z'
'x,-y,z'
'x+1/2,y+1/2,z'
'-x+1/2,-y+1/2,-z'
'-x+1/2,y+1/2,-z'
'x+1/2,-y+1/2,z'
loop_
_atom_site_label
_atom_site_type_symbol
_atom_site_fract_x
_atom_site_fract_y
_atom_site_fract_z
Zn1 Zn 0.000 0.000 0.000
Zn2 Zn 0.098 0.500 0.310
Zn3 Zn 0.109 0.500 0.806
Zn4 Zn 0.204 0.000 0.620
Rh1 Rh 0.000 0.000 0.500
Rh2 Rh 0.188 0.000 0.111

***

Record 3
# NbGeAs2 PBE-GGA optimized geometry
# - N(E_F) (states/eV/cell) = 1.26
# - magnetic moment (μB/atom) = 0.000
# - calculated formation energy (eV/atom) = -0.152
data_NbGeAs2
_chemical_formula_sum 'Nb2 Ge2 As4'
_cell_length_a 5.348
_cell_length_b 5.402
_cell_length_c 5.523
_cell_angle_alpha 78.43
_cell_angle_beta 80.63
_cell_angle_gamma 75.54
_space_group_name_H-M_alt 'P 1'
_space_group_IT_number 1
loop_
_space_group_symop_operation_xyz
'x,y,z'
loop_
_atom_site_label
_atom_site_type_symbol
_atom_site_fract_x
_atom_site_fract_y
_atom_site_fract_z
Nb1 Nb 0.000 0.000 0.000
Nb2 Nb 0.260 0.578 0.373
Ge1 Ge 0.533 0.879 0.948
Ge2 Ge 0.658 0.170 0.469
As1 As 0.129 0.091 0.463
As2 As 0.142 0.481 0.893
As3 As 0.597 0.407 0.979
As4 As 0.732 0.724 0.392

***

Record 4
# ZrCu2P PBE-GGA optimized geometry
# - N(E_F) (states/eV/cell) = 3.11
# - magnetic moment (μB/atom) = 0.066
# - calculated formation energy (eV/atom) = -0.127
data_ZrCu2P
_chemical_formula_sum 'Zr1 Cu2 P1'
_cell_length_a 3.459
_cell_length_b 3.459
_cell_length_c 5.217
_cell_angle_alpha 90.00
_cell_angle_beta 90.00
_cell_angle_gamma 90.00
_space_group_name_H-M_alt 'P 4/m m m'
_space_group_IT_number 123
_space_group_name_Hall '-P 4 2'
loop_
_atom_site_label
_atom_site_type_symbol
_atom_site_fract_x
_atom_site_fract_y
_atom_site_fract_z
Zr1 Zr 0.000 0.000 0.000
Cu1 Cu 0.500 0.500 0.265
P1 P 0.000 0.000 0.500

***

Record 5
# Zr2CrW PBE-GGA optimized geometry
# - energy above the lowest structure with this stoichiometry (meV per atom) = 131
# - N(E_F) (states/eV/cell) = 4.40
# - magnetic moment (μB/atom) = 0.000
# - calculated formation energy (eV/atom) = 0.252
data_Zr2CrW
_chemical_formula_sum 'Zr2 Cr1 W1'
_cell_length_a 3.033
_cell_length_b 4.212
_cell_length_c 5.869
_cell_angle_alpha 90.00
_cell_angle_beta 103.00
_cell_angle_gamma 90.00
_space_group_name_H-M_alt 'P 1 m 1'
_space_group_IT_number 6
loop_
_space_group_symop_operation_xyz
'x,y,z'
'x,-y,z'
loop_
_atom_site_label
_atom_site_type_symbol
_atom_site_fract_x
_atom_site_fract_y
_atom_site_fract_z
Zr1 Zr 0.000 0.000 0.000
Zr2 Zr 0.297 0.500 0.699
Cr1 Cr 0.766 0.500 0.250
W1 W 0.580 0.000 0.444

***

Record 6
# KTeAs2 PBE-GGA optimized geometry
# - N(E_F) (states/eV/cell) = 3.39
# - magnetic moment (μB/atom) = 0.000
# - formation energy (no corrections) (meV/atom) = 33.7
data_KTeAs2
_chemical_formula_sum 'K2 Te2 As4'
_cell_length_a 3.802
_cell_length_b 5.541
_cell_length_c 10.245
_cell_angle_alpha 90.00
_cell_angle_beta 90.00
_cell_angle_gamma 90.00
_space_group_name_H-M_alt 'I m m m'
_space_group_IT_number 71
_space_group_name_Hall '-I 2 2'
loop_
_atom_site_label
_atom_site_type_symbol
_atom_site_fract_x
_atom_site_fract_y
_atom_site_fract_z
K1 K 0.000 0.000 0.000
Te1 Te 0.000 0.000 0.500
As1 As 0.000 0.500 0.211

***

Record 7
# Pr2ScSe PBE-GGA optimized geometry
# - N(E_F) (states/eV/cell) = 15.96
# - magnetic moment (μB/atom) = 0.113
# - formation energy (no corrections) (meV/atom) = -454.5
data_Pr2ScSe
_chemical_formula_sum 'Pr6 Sc3 Se3'
_cell_length_a 3.8288
_cell_length_b 3.8288
_cell_length_c 30.5691
_cell_angle_alpha 90.00
_cell_angle_beta 90.00
_cell_angle_gamma 120.00
_space_group_name_H-M_alt 'R -3 m'
_space_group_IT_number 166
_space_group_name_Hall '-R 3 2"'
loop_
_atom_site_label
_atom_site_type_symbol
_atom_site_fract_x
_atom_site_fract_y
_atom_site_fract_z
Pr1 Pr 0.0000 0.0000 0.1040
Sc1 Sc 0.0000 0.0000 0.0000
Se1 Se 0.0000 0.0000 0.5000

***

Record 8
# Si4TcOs PBE-GGA optimized geometry
# - energy above the lowest structure with this stoichiometry (meV per atom) = 630
# - N(E_F) (states/eV/cell) = 24.87
# - magnetic moment (μB/atom) = 0.000
# - formation energy (no corrections) (meV/atom) = 593.3
data_Si4TcOs
_chemical_formula_sum 'Si16 Tc4 Os4'
_cell_length_a 6.800
_cell_length_b 6.800
_cell_length_c 6.800
_cell_angle_alpha 90.00
_cell_angle_beta 90.00
_cell_angle_gamma 90.00
_space_group_name_H-M_alt 'F -4 3 m'
_space_group_IT_number 216
_space_group_name_Hall 'F -4 2 3'
loop_
_atom_site_label
_atom_site_type_symbol
_atom_site_fract_x
_atom_site_fract_y
_atom_site_fract_z
Si1 Si 0.125 0.125 0.125
Tc1 Tc 0.250 0.250 0.750
Os1 Os 0.000 0.000 0.500

***

Record 9
# LiNiRh2 PBE-GGA optimized geometry
# - energy above the lowest structure with this stoichiometry (meV per atom) = 103
# - N(E_F) (states/eV/cell) = 4.98
# - magnetic moment (μB/atom) = 0.196
# - calculated formation energy (eV/atom) = 0.041
data_LiNiRh2
_chemical_formula_sum 'Li1 Ni1 Rh2'
_cell_length_a 2.721
_cell_length_b 2.721
_cell_length_c 7.074
_cell_angle_alpha 90.00
_cell_angle_beta 90.00
_cell_angle_gamma 90.00
_space_group_name_H-M_alt 'P 4 m m'
_space_group_IT_number 99
loop_
_space_group_symop_operation_xyz
'x,y,z'
'-y,x,z'
'-x,-y,z'
'y,-x,z'
'-x,y,z'
'y,x,z'
'x,-y,z'
'-y,-x,z'
loop_
_atom_site_label
_atom_site_type_symbol
_atom_site_fract_x
_atom_site_fract_y
_atom_site_fract_z
Li1 Li 0.000 0.000 0.000
Ni1 Ni 0.500 0.500 0.238
Rh1 Rh 0.000 0.000 0.479
Rh2 Rh 0.500 0.500 0.741

***

Record 10
# NaHgTeI2 PBE-GGA optimized geometry
# - energy above the lowest structure with this stoichiometry (meV per atom) = 267
# - N(E_F) (states/eV/cell) = 5.66
# - magnetic moment (μB/atom) = 0.605
# - formation energy (no corrections) (meV/atom) = 85.6
data_NaHgTeI2
_chemical_formula_sum 'Na1 Hg1 Te1 I2'
_cell_length_a 5.989
_cell_length_b 5.989
_cell_length_c 6.219
_cell_angle_alpha 90.00
_cell_angle_beta 90.00
_cell_angle_gamma 90.00
_space_group_name_H-M_alt 'P 4/m m m'
_space_group_IT_number 123
_space_group_name_Hall '-P 4 2'
loop_
_atom_site_label
_atom_site_type_symbol
_atom_site_fract_x
_atom_site_fract_y
_atom_site_fract_z
Na1 Na 0.000 0.000 0.000
Hg1 Hg 0.500 0.500 0.500
Te1 Te 0.000 0.000 0.500
I1 I 0.000 0.500 0.000

***

Record 11
# ThGaRh4 PBE-GGA optimized geometry
# - energy above the lowest structure with this stoichiometry (meV per atom) = 0
# - N(E_F) (states/eV/cell) = 13.30
# - magnetic moment (μB/atom) = 0.000
# - calculated formation energy (eV/atom) = -0.559
data_ThGaRh4
_chemical_formula_sum 'Th2 Ga2 Rh8'
_cell_length_a 7.336
_cell_length_b 4.040
_cell_length_c 6.993
_cell_angle_alpha 90.00
_cell_angle_beta 90.00
_cell_angle_gamma 90.00
_space_group_name_H-M_alt 'P m m a'
_space_group_IT_number 51
loop_
_space_group_symop_operation_xyz
'x,y,z'
'-x,-y,-z'
'-x+1/2,-y,z'
'x+1/2,y,-z'
'x+1/2,-y,-z'
'-x+1/2,y,z'
'-x,y,-z'
'x,-y,z'
loop_
_atom_site_label
_atom_site_type_symbol
_atom_site_fract_x
_atom_site_fract_y
_atom_site_fract_z
Th1 Th 0.250 0.000 0.163
Ga1 Ga 0.250 0.000 0.730
Rh1 Rh 0.000 0.000 0.500
Rh2 Rh 0.048 0.500 0.806
Rh3 Rh 0.250 0.500 0.456

***

Record 12
# BePbBr2 PBE-GGA optimized geometry
# - energy above the lowest structure with this stoichiometry (meV per atom) = 129
# - N(E_F) (states/eV/cell) = 2.60
# - magnetic moment (μB/atom) = 0.000
# - formation energy (no corrections) (meV/atom) = -296.5
data_BePbBr2
_chemical_formula_sum 'Be2 Pb2 Br4'
_cell_length_a 3.291
_cell_length_b 6.667
_cell_length_c 12.380
_cell_angle_alpha 90.00
_cell_angle_beta 90.00
_cell_angle_gamma 90.00
_space_group_name_H-M_alt 'C m m m'
_space_group_IT_number 65
_space_group_name_Hall '-C 2 2'
loop_
_atom_site_label
_atom_site_type_symbol
_atom_site_fract_x
_atom_site_fract_y
_atom_site_fract_z
Be1 Be 0.000 0.000 0.000
Pb1 Pb 0.000 0.000 0.500
Br1 Br 0.000 0.500 0.128